No. 1
# Nd2SmYTm5 | the Alexandria database | GGA-PBE | relaxed
data_Nd2SmYTm5
_chemical_formula_sum 'Nd8 Sm4 Y4 Tm20'
_space_group_name_H-M_alt 'I 4/m c m'
_space_group_IT_number 140
_space_group_name_Hall '-I 4 2c'
_cell_length_a 8.599
_cell_length_b 8.599
_cell_length_c 15.531
_cell_angle_alpha 90.00
_cell_angle_beta 90.00
_cell_angle_gamma 90.00
loop_
_atom_site_label
_atom_site_type_symbol
_atom_site_fract_x
_atom_site_fract_y
_atom_site_fract_z
_atom_site_occupancy
Nd1 Nd 0.118 0.382 0.000 1
Sm1 Sm 0.000 0.500 0.250 1
Y1 Y 0.000 0.000 0.250 1
Tm1 Tm 0.000 0.000 0.000 1
Tm2 Tm 0.210 0.290 0.361 1
# - DOS(E_F) (states/eV per atom) = 1.10
# - total energy (eV/atom) = -4.525
# - energy of formation from the pure elements (eV/f.u.) = 2.35

=====

No. 2
# CoSbMo2 | the Alexandria database | GGA-PBE | relaxed
data_CoSbMo2
_chemical_formula_sum 'Co2 Sb2 Mo4'
_space_group_name_H-M_alt 'C m m m'
_space_group_IT_number 65
_space_group_name_Hall '-C 2 2'
_cell_length_a 5.181
_cell_length_b 8.205
_cell_length_c 3.000
_cell_angle_alpha 90.00
_cell_angle_beta 90.00
_cell_angle_gamma 90.00
loop_
_atom_site_label
_atom_site_type_symbol
_atom_site_fract_x
_atom_site_fract_y
_atom_site_fract_z
_atom_site_occupancy
Co1 Co 0.000 0.000 0.000 1
Sb1 Sb 0.000 0.500 0.000 1
Mo1 Mo 0.250 0.250 0.500 1
# - formation energy from raw total energies (eV per atom) = 0.367
# - DOS(E_F) (states/eV per atom) = 1.06
# - total energy (eV/atom) = -7.856